No. 1
This record from the Alexandria database describes a relaxed structure of Ac5La3Co2. The functional is GGA-PBE.

Cell lengths 8.230, 10.600, 10.600 Å; angles 63.16, 67.16, 67.16 degrees
Element x y z (fractional)
Ac  0.250  0.500  0.500
Ac  0.389  0.866  0.356
Ac  0.889  0.356  0.866
Ac  0.498  0.752  0.752
Ac  0.111  0.644  0.134
Ac  0.502  0.248  0.248
Ac  0.611  0.134  0.644
Ac  0.998  0.752  0.752
Ac  0.750  0.500  0.500
Ac  0.002  0.248  0.248
La  0.633  0.614  0.121
La  0.250  0.000  0.000
La  0.133  0.121  0.614
La  0.750  0.000  0.000
La  0.867  0.879  0.386
La  0.367  0.386  0.879
Co  0.879  0.099  0.143
Co  0.379  0.143  0.099
Co  0.621  0.857  0.901
Co  0.121  0.901  0.857

## Properties
As for the space-group type: Ibam. The value obtained for the formation energy from the elements is -0.014 eV/atom.

No. 2
This record from the Alexandria database describes a relaxed structure of Ac3La3Co4. The functional is GGA-PBE.

Cell lengths 4.428, 7.757, 7.757 Å; angles 90.26, 90.00, 90.00 degrees
Last column: magnetic moment on the atom in μB.
Element x y z (fractional)
La  0.500  0.666  0.663  0.03
La  0.500  0.841  0.159  -0.04
La  0.500  0.337  0.334  0.03
Co  0.000  0.892  0.900  0.52
Co  0.000  0.100  0.108  0.52
Co  0.000  0.391  0.609  -0.47
Co  0.000  0.595  0.405  -0.48
Ac  0.000  0.515  0.009  0.00
Ac  0.000  0.991  0.485  0.00
Ac  0.500  0.172  0.828  -0.01

## Properties
As for the space-group type: Amm2. The value obtained for the formation energy from the elements is 0.053 eV/atom.

No. 3
This record from the Alexandria database describes a relaxed structure of AcLaNdCo. The functional is GGA-PBE.

Cell lengths 4.070, 4.019, 10.325 Å; angles 101.26, 126.27, 89.92 degrees
Element x y z (fractional)
La  0.794  0.980  0.522
Ac  0.793  0.312  0.188
Nd  0.771  0.638  0.840
Co  0.253  0.133  0.828

## Properties
As for the space-group type: C2. The value obtained for the formation energy from the elements is -0.007 eV/atom.

| no. | DFT total energy (eV/atom) |
| --- | --- |
| 1 | -4.9678 |
| 2 | -5.5005 |
| 3 | -5.2341 |